# NaY2HgO

A geometry-optimized NaY2HgO structure (PBE, Alexandria via LeMat-Bulk).

a b c (Å): 4.724 4.724 4.742
angles (deg): 90.00 90.00 90.00
Fractional positions:
Y1 0.000 0.500 0.000
Y2 0.500 0.000 0.000
Na1 0.000 0.000 0.500
Hg1 0.500 0.500 0.500
O1 0.000 0.000 0.000

The total DFT energy (no corrections) is -5.13 eV per atom. The calculation puts the magnetic moment at 0.00 μB/atom. The value obtained for the uncorrected formation energy is -1.2331 eV per atom.